# HoIr

Crystalline HoIr at its relaxed geometry (PBE, OQMD via LeMat-Bulk).

Geometry as POSCAR:
```
HoIr
1.0
0.0000 3.0914 3.0914
3.0914 0.0000 3.0914
3.0914 3.0914 0.0000
Ho Ir
1 1
Direct
0.0000 0.0000 0.0000
0.7500 0.7500 0.7500
```

Output
Its total DFT energy (no corrections) is -6.499 eV per atom.

# LaHoIr

Crystalline LaHoIr at its relaxed geometry (PBE, OQMD via LeMat-Bulk).

Geometry as POSCAR:
```
LaHoIr
1.0
0.0000 3.3677 3.3677
3.3677 0.0000 3.3677
3.3677 3.3677 0.0000
La Ho Ir
1 1 1
Direct
0.0000 0.0000 0.0000
0.7500 0.7500 0.7500
0.5000 0.5000 0.5000
```

Output
Its total DFT energy (no corrections) is -6.064 eV per atom. The value obtained for the distance to the lowest polymorph of the same formula is 0.00 eV/f.u.

# La2HoMg3Ir3

Crystalline La2HoMg3Ir3 at its relaxed geometry (PBE, OQMD via LeMat-Bulk).

Geometry as POSCAR:
```
La2HoMg3Ir3
1.0
4.1573 0.0000 0.0000
0.0000 6.4212 3.6915
0.0000 -6.4212 3.6915
La Ho Mg Ir
2 1 3 3
Direct
0.0000 0.2072 0.7928
0.0000 0.7928 0.2072
0.0000 0.6158 0.6158
0.5000 0.2143 0.4502
0.5000 0.4502 0.2143
0.5000 0.9656 0.9656
0.0000 0.2165 0.2165
0.5000 0.5478 0.8699
0.5000 0.8699 0.5478
```

Output
Its total DFT energy (no corrections) is -5.716 eV per atom.

# La2HoMg3Ir2Pt

Crystalline La2HoMg3Ir2Pt at its relaxed geometry (PBE, OQMD via LeMat-Bulk).

Geometry as POSCAR:
```
La2HoMg3Ir2Pt
1.0
4.1073 0.0000 0.0000
0.0000 6.4977 3.7208
0.0000 -6.4977 3.7208
La Ho Mg Ir Pt
2 1 3 2 1
Direct
0.0000 0.2093 0.7907
0.0000 0.7907 0.2093
0.0000 0.6202 0.6202
0.5000 0.2171 0.4537
0.5000 0.4537 0.2171
0.5000 0.9620 0.9620
0.5000 0.5484 0.8720
0.5000 0.8720 0.5484
0.0000 0.2202 0.2202
```

Output
Its total DFT energy (no corrections) is -5.515 eV per atom.

# LaHo2NiSn3Ir2

Crystalline LaHo2NiSn3Ir2 at its relaxed geometry (PBE, OQMD via LeMat-Bulk).

Geometry as POSCAR:
```
LaHo2NiSn3Ir2
1.0
3.9730 0.0000 0.0000
0.0000 6.4863 3.7408
0.0000 -6.4863 3.7408
La Ho Ni Sn Ir
1 2 1 3 2
Direct
0.0000 0.0000 0.0000
0.0000 0.4137 0.8233
0.0000 0.8233 0.4137
0.0000 0.4194 0.4194
0.5000 0.1657 0.4199
0.5000 0.4199 0.1657
0.5000 0.6596 0.6596
0.5000 0.0844 0.7464
0.5000 0.7464 0.0844
```

Output
Its total DFT energy (no corrections) is -6.260 eV per atom.

# LaHoP2Ir2O2

Crystalline LaHoP2Ir2O2 at its relaxed geometry (PBE, OQMD via LeMat-Bulk).

Geometry as POSCAR:
```
LaHoP2Ir2O2
1.0
3.9801 0.0000 0.0000
0.0000 3.9801 0.0000
0.0000 0.0000 8.2513
La Ho P Ir O
1 1 2 2 2
Direct
0.0000 0.0000 0.0000
0.5000 0.5000 0.2810
0.0000 0.0000 0.4761
0.5000 0.5000 0.7926
0.0000 0.5000 0.6332
0.5000 0.0000 0.6332
0.0000 0.5000 0.1544
0.5000 0.0000 0.1544
```

Output
Its total DFT energy (no corrections) is -7.981 eV per atom.

Repeat the third record exactly.
# La2HoMg3Ir3

Crystalline La2HoMg3Ir3 at its relaxed geometry (PBE, OQMD via LeMat-Bulk).

Geometry as POSCAR:
```
La2HoMg3Ir3
1.0
4.1573 0.0000 0.0000
0.0000 6.4212 3.6915
0.0000 -6.4212 3.6915
La Ho Mg Ir
2 1 3 3
Direct
0.0000 0.2072 0.7928
0.0000 0.7928 0.2072
0.0000 0.6158 0.6158
0.5000 0.2143 0.4502
0.5000 0.4502 0.2143
0.5000 0.9656 0.9656
0.0000 0.2165 0.2165
0.5000 0.5478 0.8699
0.5000 0.8699 0.5478
```

Output
Its total DFT energy (no corrections) is -5.716 eV per atom.